PBE Ac6LaTl2, relaxed; ΔE_f = -3.430 kcal/mol of atoms; ρ = 8783 kg/m3; volume = 40.1 Å³/atom
1.0
4.050 0.000 0.643
1.771 6.838 1.922
0.007 -0.043 13.029
Ac Tl La
6 2 1
direct
0.318 0.488 0.877
0.682 0.512 0.123
0.689 0.213 0.408
0.311 0.787 0.592
0.976 0.713 0.335
0.024 0.287 0.665
0.358 0.092 0.192
0.642 0.908 0.808
0.000 0.000 0.000